{
  "formula": "NaHf2F",
  "functional": "PBE",
  "state": "optimized geometry",
  "cell": [[0.000, 3.404, 3.404], [3.404, 0.000, 3.404], [3.404, 3.404, 0.000]],
  "species": ["Na", "Hf", "Hf", "F"],
  "frac_coords": [[0.000, 0.000, 0.000], [0.250, 0.250, 0.250], [0.750, 0.750, 0.750], [0.500, 0.500, 0.500]],
  "polymorph_energy_mev_per_atom": 725,
  "e_form_raw_ev_per_atom": 0.44,
  "m_tot_mub_per_atom": 0.000,
  "final_energy_ev_per_atom": -5.3344
}



{
  "formula": "Na6HfF12",
  "functional": "PBE",
  "state": "optimized geometry",
  "cell": [[5.044, 2.912, 3.158], [-5.044, 2.912, 3.158], [0.000, -5.825, 3.158]],
  "species": ["Na", "Na", "Na", "Na", "Na", "Na", "Hf", "F", "F", "F", "F", "F", "F", "F", "F", "F", "F", "F", "F"],
  "frac_coords": [[0.109, 0.651, 0.798], [0.202, 0.891, 0.349], [0.349, 0.202, 0.891], [0.651, 0.798, 0.109], [0.798, 0.109, 0.651], [0.891, 0.349, 0.202], [0.500, 0.500, 0.500], [0.049, 0.337, 0.917], [0.083, 0.951, 0.663], [0.200, 0.525, 0.432], [0.337, 0.917, 0.049], [0.432, 0.200, 0.525], [0.475, 0.568, 0.800], [0.525, 0.432, 0.200], [0.568, 0.800, 0.475], [0.663, 0.083, 0.951], [0.800, 0.475, 0.568], [0.917, 0.049, 0.337], [0.951, 0.663, 0.083]],
  "e_form_raw_ev_per_atom": -2.74,
  "m_tot_mub_per_atom": 0.105,
  "final_energy_ev_per_atom": -4.8671
}



{
  "formula": "Na2HfF8",
  "functional": "PBE",
  "state": "optimized geometry",
  "cell": [[7.588, -1.864, 0.000], [7.588, 1.864, 0.000], [-1.868, 0.000, 5.000]],
  "species": ["Na", "Na", "Hf", "F", "F", "F", "F", "F", "F", "F", "F"],
  "frac_coords": [[0.152, 0.152, 0.117], [0.848, 0.848, 0.883], [0.500, 0.500, 0.500], [0.023, 0.023, 0.728], [0.231, 0.231, 0.568], [0.365, 0.365, 0.211], [0.419, 0.419, 0.735], [0.581, 0.581, 0.265], [0.635, 0.635, 0.789], [0.769, 0.769, 0.432], [0.977, 0.977, 0.272]],
  "polymorph_energy_mev_per_atom": 43,
  "e_form_raw_ev_per_atom": -2.64,
  "m_tot_mub_per_atom": 0.189,
  "final_energy_ev_per_atom": -5.1441
}



{
  "formula": "NaHf2F8",
  "functional": "PBE",
  "state": "optimized geometry",
  "cell": [[5.921, -3.055, 0.000], [5.921, 3.055, 0.000], [-0.469, 0.000, 4.116]],
  "species": ["Na", "Hf", "Hf", "F", "F", "F", "F", "F", "F", "F", "F"],
  "frac_coords": [[0.000, 0.000, 0.000], [0.278, 0.278, 0.416], [0.722, 0.722, 0.584], [0.084, 0.643, 0.658], [0.218, 0.218, 0.892], [0.357, 0.916, 0.342], [0.414, 0.414, 0.206], [0.586, 0.586, 0.794], [0.643, 0.084, 0.658], [0.782, 0.782, 0.108], [0.916, 0.357, 0.342]],
  "e_form_raw_ev_per_atom": -3.33,
  "m_tot_mub_per_atom": 0.046,
  "final_energy_ev_per_atom": -6.6238
}



{
  "formula": "NaHf2F",
  "functional": "PBE",
  "state": "optimized geometry",
  "cell": [[-4.074, 4.074, 2.295], [4.074, -4.074, 2.295], [4.074, 4.074, -2.295]],
  "species": ["Na", "Na", "Hf", "Hf", "Hf", "Hf", "F", "F"],
  "frac_coords": [[0.000, 0.000, 0.000], [0.750, 0.250, 0.500], [0.246, 0.625, 0.121], [0.375, 0.496, 0.621], [0.504, 0.125, 0.879], [0.875, 0.754, 0.379], [0.250, 0.750, 0.500], [0.500, 0.500, 0.000]],
  "polymorph_energy_mev_per_atom": 0,
  "e_form_raw_ev_per_atom": -0.29,
  "m_tot_mub_per_atom": 0.000,
  "final_energy_ev_per_atom": -6.0598
}



{
  "formula": "Na3HfF7",
  "functional": "PBE",
  "state": "optimized geometry",
  "cell": [[3.837, -3.933, 0.000], [3.837, 3.933, 0.000], [-3.526, 0.000, 5.193]],
  "species": ["Na", "Na", "Na", "Hf", "F", "F", "F", "F", "F", "F", "F"],
  "frac_coords": [[0.000, 0.000, 0.000], [0.244, 0.707, 0.435], [0.707, 0.244, 0.435], [0.527, 0.527, 0.971], [0.154, 0.495, 0.693], [0.337, 0.337, 0.106], [0.375, 0.833, 0.167], [0.495, 0.154, 0.693], [0.638, 0.638, 0.736], [0.833, 0.375, 0.167], [0.854, 0.854, 0.235]],
  "e_form_raw_ev_per_atom": -3.31,
  "m_tot_mub_per_atom": 0.000,
  "final_energy_ev_per_atom": -5.7616
}



{
  "formula": "Na3HfF",
  "functional": "PBE",
  "state": "optimized geometry",
  "cell": [[6.363, 0.000, 0.000], [0.000, 6.363, 0.000], [0.000, 0.000, 6.363]],
  "species": ["Na", "Na", "Na", "Hf", "F"],
  "frac_coords": [[0.000, 0.000, 0.500], [0.000, 0.500, 0.000], [0.500, 0.000, 0.000], [0.000, 0.000, 0.000], [0.500, 0.500, 0.500]],
  "polymorph_energy_mev_per_atom": 992,
  "e_form_raw_ev_per_atom": 0.85,
  "m_tot_mub_per_atom": 0.800,
  "final_energy_ev_per_atom": -2.3102
}



{
  "formula": "NaHfF4",
  "functional": "PBE",
  "state": "optimized geometry",
  "cell": [[-3.875, 3.875, 1.621], [3.875, -3.875, 1.621], [3.875, 3.875, -1.621]],
  "species": ["Na", "Hf", "F", "F", "F", "F"],
  "frac_coords": [[0.000, 0.000, 0.000], [0.750, 0.250, 0.500], [0.129, 0.377, 0.746], [0.617, 0.871, 0.248], [0.623, 0.369, 0.752], [0.631, 0.383, 0.254]],
  "e_form_raw_ev_per_atom": -3.17,
  "m_tot_mub_per_atom": 0.083,
  "final_energy_ev_per_atom": -6.2995
}



{
  "formula": "NaHfO2F",
  "functional": "PBE",
  "state": "optimized geometry",
  "cell": [[4.086, 0.000, 0.000], [0.000, 4.086, 0.000], [0.000, 0.000, 4.194]],
  "species": ["Na", "Hf", "O", "O", "F"],
  "frac_coords": [[0.000, 0.000, 0.000], [0.500, 0.500, 0.500], [0.000, 0.500, 0.500], [0.500, 0.000, 0.500], [0.500, 0.500, 0.000]],
  "e_form_raw_ev_per_atom": -3.01,
  "m_tot_mub_per_atom": 0.000,
  "final_energy_ev_per_atom": -7.6216
}



{
  "formula": "NaHfO2F",
  "functional": "PBE",
  "state": "optimized geometry",
  "cell": [[3.941, 0.000, 0.000], [0.000, 3.941, 0.000], [0.000, 0.000, 3.610]],
  "species": ["Na", "Hf", "O", "O", "F"],
  "frac_coords": [[0.000, 0.000, 0.000], [0.500, 0.500, 0.500], [0.000, 0.500, 0.000], [0.500, 0.000, 0.000], [0.000, 0.000, 0.500]],
  "e_form_raw_ev_per_atom": -1.29,
  "m_tot_mub_per_atom": 0.000,
  "final_energy_ev_per_atom": -5.9007
}



{
  "formula": "Na2HfPbF8",
  "functional": "PBE",
  "state": "optimized geometry",
  "cell": [[3.837, 0.000, 0.000], [0.000, 7.938, 0.000], [-0.029, 0.000, 5.675]],
  "species": ["Na", "Na", "Hf", "Pb", "F", "F", "F", "F", "F", "F", "F", "F"],
  "frac_coords": [[0.000, 0.245, 0.000], [0.000, 0.755, 0.000], [0.500, 0.500, 0.500], [0.500, 0.000, 0.500], [0.001, 0.500, 0.702], [0.002, 0.000, 0.765], [0.499, 0.298, 0.272], [0.499, 0.702, 0.272], [0.501, 0.298, 0.728], [0.501, 0.702, 0.728], [0.998, 0.000, 0.235], [0.999, 0.500, 0.298]],
  "e_form_raw_ev_per_atom": -3.10,
  "m_tot_mub_per_atom": 0.000,
  "final_energy_ev_per_atom": -5.7055
}



{
  "formula": "NaHf2PtF",
  "functional": "PBE",
  "state": "optimized geometry",
  "cell": [[5.129, 0.000, 0.000], [0.000, 5.129, 0.000], [0.000, 0.000, 3.627]],
  "species": ["Na", "Hf", "Hf", "Pt", "F"],
  "frac_coords": [[0.000, 0.000, 0.000], [0.000, 0.500, 0.000], [0.500, 0.000, 0.000], [0.500, 0.500, 0.500], [0.000, 0.000, 0.500]],
  "e_form_raw_ev_per_atom": 0.34,
  "m_tot_mub_per_atom": 0.000,
  "final_energy_ev_per_atom": -5.4879
}



Q: What is the formula in the first record?
A: NaHf2F